# 1
Crystalline BeGaCoAg at its relaxed geometry. Source: the Open Quantum Materials Database, functional PBE.

abc: 5.899 5.899 5.899
angles: 90.00 90.00 90.00
Positions (direct):
Be: 0.000 0.000 0.000
Be: 0.000 0.500 0.500
Be: 0.500 0.000 0.500
Be: 0.500 0.500 0.000
Ga: 0.250 0.250 0.250
Ga: 0.250 0.750 0.750
Ga: 0.750 0.250 0.750
Ga: 0.750 0.750 0.250
Co: 0.000 0.000 0.500
Co: 0.000 0.500 0.000
Co: 0.500 0.000 0.000
Co: 0.500 0.500 0.500
Ag: 0.250 0.250 0.750
Ag: 0.250 0.750 0.250
Ag: 0.750 0.250 0.250
Ag: 0.750 0.750 0.750

Properties
Size of the total moment: 0.040 μB/atom
VASP energy: -4.00 eV per atom



# 2
Crystalline ErFeNi at its relaxed geometry. Source: the Open Quantum Materials Database, functional PBE.

abc: 6.043 6.043 6.043
angles: 90.00 90.00 90.00
Positions (direct):
Er: 0.000 0.000 0.000
Er: 0.000 0.500 0.500
Er: 0.500 0.000 0.500
Er: 0.500 0.500 0.000
Fe: 0.000 0.000 0.500
Fe: 0.000 0.500 0.000
Fe: 0.500 0.000 0.000
Fe: 0.500 0.500 0.500
Ni: 0.250 0.250 0.250
Ni: 0.250 0.750 0.750
Ni: 0.750 0.250 0.750
Ni: 0.750 0.750 0.250

Properties
Size of the total moment: 0.915 μB/atom
VASP energy: -5.99 eV per atom



# 3
Crystalline NiTe3Au2 at its relaxed geometry. Source: the Open Quantum Materials Database, functional PBE.

abc: 4.308 12.841 6.079
angles: 90.00 90.00 90.00
Positions (direct):
Ni: 0.000 0.000 0.000
Ni: 0.500 0.500 0.500
Te: 0.000 0.153 0.759
Te: 0.000 0.500 0.697
Te: 0.000 0.847 0.759
Te: 0.500 0.000 0.197
Te: 0.500 0.347 0.259
Te: 0.500 0.653 0.259
Au: 0.000 0.336 0.986
Au: 0.000 0.664 0.986
Au: 0.500 0.164 0.486
Au: 0.500 0.836 0.486

Properties
Size of the total moment: 0.001 μB/atom
VASP energy: -3.63 eV per atom